[1]
CdSbP2Cl, optimized geometry, DFT GGA-PBE; space group = No. 123; energy relative to the elements, uncorrected = 0.613 eV per atom; calculated total energy = -14.64 eV per cell; offset from the most stable computed form = 0.00 eV per formula unit
1.0
5.135 0.000 0.000
0.000 5.135 0.000
0.000 0.000 5.143
P Cl Sb Cd
2 1 1 1
Direct
0.000 0.500 0.000
0.500 0.000 0.000
0.000 0.000 0.500
0.000 0.000 0.000
0.500 0.500 0.500

---

[2]
Ce4N2Cl3, optimized geometry, DFT GGA-PBE; space group = No. 12; energy relative to the elements, uncorrected = -1.583 eV per atom; calculated total energy = -60.17 eV per cell
1.0
-0.369 -1.165 3.231
-0.840 -5.797 -4.032
8.394 0.073 0.984
Ce Cl N
4 3 2
Direct
0.912 0.824 0.283
0.673 0.347 0.105
0.088 0.176 0.717
0.327 0.653 0.895
0.597 0.195 0.416
0.000 0.000 0.000
0.403 0.805 0.584
0.299 0.598 0.176
0.701 0.402 0.824

---

[3]
PrErSO2, optimized geometry, DFT GGA-PBE; space group = No. 11; energy relative to the elements, uncorrected = -3.063 eV per atom; calculated total energy = -77.40 eV per cell
1.0
4.080 0.000 0.000
0.000 6.504 -0.529
0.000 -2.031 7.385
O Pr Er S
4 2 2 2
Direct
0.250 0.474 0.607
0.750 0.526 0.393
0.750 0.513 0.868
0.250 0.487 0.132
0.250 0.698 0.934
0.750 0.302 0.066
0.250 0.676 0.429
0.750 0.324 0.571
0.250 0.040 0.756
0.750 0.960 0.244

---

[4]
Si2AsBr, optimized geometry, DFT GGA-PBE; space group = No. 6; energy relative to the elements, uncorrected = 0.074 eV per atom; calculated total energy = -16.87 eV per cell; offset from the most stable computed form = 0.07 eV per formula unit
1.0
-0.233 3.717 0.316
-2.107 0.185 -3.723
-6.892 -0.540 1.262
As Br Si
1 1 2
Direct
0.000 0.469 0.365
0.500 0.729 0.854
0.000 0.992 0.109
0.500 0.310 0.171

---

[5]
TbPmDy5Er2, optimized geometry, DFT GGA-PBE; space group = No. 36; calculated total energy = -80.17 eV per cell
1.0
5.593 0.000 0.000
-2.797 9.905 0.000
0.000 0.000 10.530
Dy Er Pm Tb
10 4 2 2
Direct
0.018 0.035 0.025
0.478 0.957 0.737
0.281 0.562 0.312
0.389 0.778 0.023
0.522 0.043 0.237
0.982 0.965 0.525
0.299 0.598 0.709
0.701 0.402 0.209
0.719 0.438 0.812
0.611 0.222 0.523
0.111 0.221 0.736
0.886 0.772 0.819
0.889 0.779 0.236
0.114 0.228 0.319
0.415 0.831 0.452
0.585 0.169 0.952
0.800 0.601 0.512
0.200 0.399 0.012

---

[6]
LaCu4Ru, optimized geometry, DFT GGA-PBE; space group = No. 216; calculated total energy = -30.39 eV per cell
1.0
-4.176 -2.419 -1.581
-3.493 -1.500 3.367
-4.508 2.329 0.190
Ru Cu La
1 4 1
Direct
0.000 0.000 0.000
0.881 0.373 0.373
0.373 0.881 0.373
0.373 0.373 0.373
0.373 0.373 0.881
0.750 0.750 0.750